1.
A relaxed structure of ScTlZnNi. Source: the Open Quantum Materials Database, functional GGA-PBE.

```
ScTlZnNi
1.0
-1.4938 1.1629 4.1929
1.0153 4.1366 1.7383
-3.2998 3.1711 0.4687
Ni Sc Tl Zn
1 1 1 1
Direct
0.7500 0.7500 0.7500 Ni
0.2500 0.2500 0.2500 Sc
0.0000 0.0000 0.0000 Tl
0.5000 0.5000 0.5000 Zn
```

Raw total energy = -16.068 eV/cell


2.
A relaxed structure of Tm3ScNi8. Source: the Open Quantum Materials Database, functional GGA-PBE.

```
Tm3ScNi8
1.0
2.4863 1.4355 8.1406
-2.4863 1.4355 8.1406
0.0000 -2.8709 8.1406
Ni Sc Tm
8 1 3
Direct
0.1877 0.1877 0.1877 Ni
0.9367 0.4367 0.4367 Ni
0.4367 0.9367 0.4367 Ni
0.9380 0.9380 0.4391 Ni
0.6875 0.6875 0.6875 Ni
0.4367 0.4367 0.9367 Ni
0.9380 0.4391 0.9380 Ni
0.4391 0.9380 0.9380 Ni
0.8740 0.8740 0.8740 Sc
0.3759 0.3759 0.3759 Tm
0.5019 0.5019 0.5019 Tm
0.9978 0.9978 0.9978 Tm
```

Raw total energy = -70.325 eV/cell
ΔH_f (0 K) = -502 meV per atom


3.
A relaxed structure of TmScNi. Source: the Open Quantum Materials Database, functional GGA-PBE.

```
TmScNi
1.0
1.1632 2.2271 3.7769
-3.1807 1.1630 3.0180
-0.1885 -2.0964 4.0184
Ni Sc Tm
1 1 1
Direct
0.2500 0.2500 0.2500 Ni
0.7500 0.7500 0.7500 Sc
0.0000 0.0000 0.0000 Tm
```

Raw total energy = -14.588 eV/cell
Relative energy among the computed polymorphs = 0.784 eV/atom
ΔH_f (0 K) = 594 meV per atom


4.
A relaxed structure of TmScNi. Source: the Open Quantum Materials Database, functional GGA-PBE.

```
TmScNi
1.0
0.0000 3.2118 3.2118
3.2118 0.0000 3.2118
3.2118 3.2118 0.0000
Ni Sc Tm
1 1 1
Direct
0.0000 0.0000 0.0000 Ni
0.2500 0.2500 0.2500 Sc
0.7500 0.7500 0.7500 Tm
```

Raw total energy = -16.939 eV/cell
Relative energy among the computed polymorphs = 0.000 eV/atom
ΔH_f (0 K) = -189 meV per atom


5.
A relaxed structure of ScUNi. Source: the Open Quantum Materials Database, functional GGA-PBE.

```
ScUNi
1.0
0.2563 -3.3914 2.8084
1.0298 0.7119 4.2294
-3.0647 -0.5067 3.1314
Ni Sc U
1 1 1
Direct
0.2500 0.2500 0.2500 Ni
0.7500 0.7500 0.7500 Sc
0.0000 0.0000 0.0000 U
```

Raw total energy = -20.697 eV/cell
Relative energy among the computed polymorphs = 0.503 eV/atom
ΔH_f (0 K) = 832 meV per atom


6.
A relaxed structure of ScUNi. Source: the Open Quantum Materials Database, functional GGA-PBE.

```
ScUNi
1.0
0.0000 3.1538 3.1538
3.1538 0.0000 3.1538
3.1538 3.1538 0.0000
Ni Sc U
1 1 1
Direct
0.0000 0.0000 0.0000 Ni
0.7500 0.7500 0.7500 Sc
0.2500 0.2500 0.2500 U
```

Raw total energy = -22.206 eV/cell
Relative energy among the computed polymorphs = 0.000 eV/atom
ΔH_f (0 K) = 329 meV per atom


7.
A relaxed structure of YSc2Ni9. Source: the Open Quantum Materials Database, functional GGA-PBE.

```
YSc2Ni9
1.0
2.4312 1.4036 7.9111
-2.4312 1.4036 7.9111
0.0000 -2.8073 7.9111
Ni Sc Y
9 2 1
Direct
0.5862 0.5862 0.0818 Ni
0.3333 0.3333 0.3333 Ni
0.9182 0.4138 0.4138 Ni
0.4138 0.9182 0.4138 Ni
0.5000 0.5000 0.5000 Ni
0.5862 0.0818 0.5862 Ni
0.0818 0.5862 0.5862 Ni
0.6667 0.6667 0.6667 Ni
0.4138 0.4138 0.9182 Ni
0.1412 0.1412 0.1412 Sc
0.8588 0.8588 0.8588 Sc
0.0000 0.0000 0.0000 Y
```

Raw total energy = -74.628 eV/cell
ΔH_f (0 K) = -450 meV per atom


8.
A relaxed structure of Y2ScNi2. Source: the Open Quantum Materials Database, functional GGA-PBE.

```
Y2ScNi2
1.0
5.5544 2.0155 4.9375
0.8205 0.8691 7.6068
-2.4188 -4.1017 -6.0512
Ni Sc Y
2 1 2
Direct
0.7500 0.2500 0.5000 Ni
0.2500 0.7500 0.5000 Ni
0.0000 0.0000 0.0000 Sc
0.3774 0.3774 0.0000 Y
0.6226 0.6226 0.0000 Y
```

Raw total energy = -29.798 eV/cell
ΔH_f (0 K) = 119 meV per atom


Among the records above, which one has the lowest raw total energy? YSc2Ni9


The lowest raw total energy belongs to which entry? YSc2Ni9


raw total energy of number 7 (YSc2Ni9)? -74.628 eV/cell